Entry from Alexandria: a relaxed structure of HfAl3Cd (GGA-PBE).

Unit cell a=4.9098 b=4.9098 c=4.9098 alpha=90.00 beta=90.00 gamma=90.00
Positions (direct):
Hf 0.0000 0.0000 0.0000
Al 0.0000 0.5000 0.5000
Al 0.5000 0.0000 0.5000
Al 0.5000 0.5000 0.0000
Cd 0.5000 0.5000 0.5000

Computed properties:
* E_form: 0.96 eV per atom
* space-group type: Pm-3m (221)
* ρ: 5.2 g/cm3